Record 1
{
  "formula": "TbAuSeO",
  "functional": "GGA-PBE",
  "state": "optimized geometry",
  "m_tot_mub_per_fu": 0.0,
  "total_energy_ev_per_atom": -5.9930,
  "cell": [[-1.166, -4.887, -2.539], [7.763, -3.923, 3.985], [-3.085, -1.579, 4.456]],
  "species": ["Au", "Au", "Au", "Au", "O", "O", "O", "O", "Se", "Se", "Se", "Se", "Tb", "Tb", "Tb", "Tb"],
  "frac_coords": [[0.750, 0.500, 0.239], [0.250, 0.500, 0.261], [0.750, 0.500, 0.739], [0.250, 0.500, 0.761], [0.750, 0.000, 0.001], [0.250, 0.000, 0.499], [0.750, 0.000, 0.501], [0.250, 0.000, 0.999], [0.000, 0.278, 0.250], [0.500, 0.722, 0.250], [0.500, 0.278, 0.750], [0.000, 0.722, 0.750], [0.500, 0.116, 0.250], [0.000, 0.884, 0.250], [0.000, 0.116, 0.750], [0.500, 0.884, 0.750]]
}



Record 2
{
  "formula": "TbAuSeO",
  "functional": "GGA-PBE",
  "state": "optimized geometry",
  "m_tot_mub_per_fu": 0.0,
  "total_energy_ev_per_atom": -5.9938,
  "cell": [[1.654, 3.374, 1.332], [-2.663, 0.118, 2.965], [11.914, -10.225, 11.107]],
  "species": ["Au", "Au", "Au", "Au", "O", "O", "O", "O", "Se", "Se", "Se", "Se", "Tb", "Tb", "Tb", "Tb"],
  "frac_coords": [[0.716, 0.280, 0.250], [0.216, 0.780, 0.250], [0.220, 0.784, 0.750], [0.720, 0.284, 0.750], [0.965, 0.035, 0.000], [0.465, 0.535, 0.000], [0.965, 0.035, 0.500], [0.465, 0.535, 0.500], [0.964, 0.533, 0.140], [0.464, 0.033, 0.360], [0.967, 0.536, 0.640], [0.467, 0.036, 0.860], [0.465, 0.035, 0.057], [0.965, 0.535, 0.443], [0.465, 0.035, 0.557], [0.965, 0.535, 0.943]]
}



Record 3
{
  "formula": "TbAuSeO",
  "functional": "GGA-PBE",
  "state": "optimized geometry",
  "m_tot_mub_per_fu": 0.0,
  "total_energy_ev_per_atom": -5.9938,
  "cell": [[5.737, 0.000, -0.002], [0.000, 5.733, 0.000], [-0.422, 0.000, 11.152]],
  "species": ["Au", "Au", "Au", "Au", "O", "O", "O", "O", "Se", "Se", "Se", "Se", "Tb", "Tb", "Tb", "Tb"],
  "frac_coords": [[0.997, 0.342, 0.271], [0.684, 0.596, 0.497], [0.316, 0.096, 0.503], [0.003, 0.842, 0.729], [0.749, 0.069, 0.000], [0.249, 0.068, 0.002], [0.751, 0.568, 0.998], [0.251, 0.569, 0.000], [0.693, 0.643, 0.280], [0.300, 0.043, 0.287], [0.700, 0.543, 0.713], [0.307, 0.143, 0.720], [0.006, 0.819, 0.094], [0.507, 0.320, 0.095], [0.493, 0.820, 0.905], [0.994, 0.319, 0.906]]
}